Density functional theory data (PBE-GGA) for an optimized crystal structure of NdY2Mg3CdIn2.

Results
Energy = -64.5 eV per cell

Geometry as CIF:
```
data_NdY2Mg3CdIn2
_space_group_name_H-M_alt 'A m m 2'
_space_group_IT_number 38
_space_group_name_Hall 'A 2 -2'
_cell_length_a 4.664
_cell_length_b 13.261
_cell_length_c 7.534
_cell_angle_alpha 90.00
_cell_angle_beta 90.00
_cell_angle_gamma 90.00
loop_
_atom_site_label
_atom_site_type_symbol
_atom_site_fract_x
_atom_site_fract_y
_atom_site_fract_z
Nd1 Nd 0.000 0.000 0.000
Y1 Y 0.000 0.213 0.637
Mg1 Mg 0.500 0.000 0.667
Mg2 Mg 0.500 0.120 0.307
Cd1 Cd 0.000 0.000 0.433
In1 In 0.500 0.169 0.924
```